1.
The following is a DFT calculation (PBE-GGA) of TbTi2F8 after structural relaxation.

```
data_TbTi2F8
_chemical_formula_sum 'Tb2 Ti4 F16'
_cell_length_a 10.550
_cell_length_b 5.373
_cell_length_c 5.299
_cell_angle_alpha 90.00
_cell_angle_beta 96.92
_cell_angle_gamma 90.00
_symmetry_space_group_name_H-M 'C 1 2/m 1'
_symmetry_Int_Tables_number 12
loop_
_symmetry_equiv_pos_as_xyz
'x,y,z'
'-x,-y,-z'
'-x,y,-z'
'x,-y,z'
'x+1/2,y+1/2,z'
'-x+1/2,-y+1/2,-z'
'-x+1/2,y+1/2,-z'
'x+1/2,-y+1/2,z'
loop_
_atom_site_label
_atom_site_type_symbol
_atom_site_fract_x
_atom_site_fract_y
_atom_site_fract_z
Tb1 Tb 0.000 0.000 0.000
Ti1 Ti 0.232 0.500 0.516
F1 F 0.114 0.500 0.752
F2 F 0.130 0.000 0.716
F3 F 0.138 0.240 0.258
```

2.
The following is a DFT calculation (PBE-GGA) of Tb2TlF after structural relaxation.

```
data_Tb2TlF
_chemical_formula_sum 'Tb6 Tl3 F3'
_cell_length_a 4.7791
_cell_length_b 4.7791
_cell_length_c 21.3287
_cell_angle_alpha 90.00
_cell_angle_beta 90.00
_cell_angle_gamma 120.00
_symmetry_space_group_name_H-M 'R -3 m'
_symmetry_Int_Tables_number 166
_symmetry_space_group_name_Hall '-R 3 2"'
loop_
_atom_site_label
_atom_site_type_symbol
_atom_site_fract_x
_atom_site_fract_y
_atom_site_fract_z
Tb1 Tb 0.0000 0.0000 0.1027
Tl1 Tl 0.0000 0.0000 0.5000
F1 F 0.0000 0.0000 0.0000
```

## Properties
ΔE to the lowest computed polymorph = 0 kJ/mol of formula units

3.
The following is a DFT calculation (PBE-GGA) of TbTl5F8 after structural relaxation.

```
data_TbTl5F8
_chemical_formula_sum 'Tb2 Tl10 F16'
_cell_length_a 7.946
_cell_length_b 7.946
_cell_length_c 8.694
_cell_angle_alpha 90.00
_cell_angle_beta 90.00
_cell_angle_gamma 90.00
_symmetry_space_group_name_H-M 'I -4'
_symmetry_Int_Tables_number 82
loop_
_symmetry_equiv_pos_as_xyz
'x,y,z'
'y,-x,-z'
'-x,-y,z'
'-y,x,-z'
'x+1/2,y+1/2,z+1/2'
'y+1/2,-x+1/2,-z+1/2'
'-x+1/2,-y+1/2,z+1/2'
'-y+1/2,x+1/2,-z+1/2'
loop_
_atom_site_label
_atom_site_type_symbol
_atom_site_fract_x
_atom_site_fract_y
_atom_site_fract_z
Tb1 Tb 0.000 0.000 0.000
Tl1 Tl 0.000 0.500 0.250
Tl2 Tl 0.112 0.236 0.629
F1 F 0.058 0.164 0.220
F2 F 0.074 0.267 0.920
```

4.
The following is a DFT calculation (PBE-GGA) of TbTlF4 after structural relaxation.

```
data_TbTlF4
_chemical_formula_sum 'Tb1 Tl1 F4'
_cell_length_a 3.906
_cell_length_b 3.906
_cell_length_c 6.692
_cell_angle_alpha 90.00
_cell_angle_beta 90.00
_cell_angle_gamma 90.00
_symmetry_space_group_name_H-M 'P 4/m m m'
_symmetry_Int_Tables_number 123
_symmetry_space_group_name_Hall '-P 4 2'
loop_
_atom_site_label
_atom_site_type_symbol
_atom_site_fract_x
_atom_site_fract_y
_atom_site_fract_z
Tb1 Tb 0.000 0.000 0.000
Tl1 Tl 0.500 0.500 0.500
F1 F 0.000 0.500 0.190
```

no.,raw formation energy (meV/atom)
1,-3358.7
2,-1281.9
3,-2423.1
4,-3341.6